--- 1 ---
Below is Y3CoPb after structural relaxation, with properties calculated at the GGA-PBE level.

Cell: 9.6187 9.6187 9.6187 Å, 60.00 60.00 60.00°
Last column: nearest neighbours and their distance in Å.
Fractional positions:
Pb: 0.1250 0.6250 0.6250  6 Y 3.35
Y: 0.0469 0.4531 0.4531  2 Co 2.63
Y: 0.7969 0.2031 0.7969  2 Co 2.63
Co: 0.1250 0.1250 0.6250  6 Y 2.63
Y: 0.2031 0.7969 0.7969  2 Co 2.63
Pb: 0.6250 0.6250 0.1250  6 Y 3.35
Y: 0.7969 0.7969 0.2031  2 Co 2.63
Y: 0.2031 0.7969 0.2031  2 Co 2.63
Y: 0.7969 0.2031 0.2031  2 Co 2.63
Y: 0.4531 0.0469 0.4531  2 Co 2.63
Co: 0.1250 0.6250 0.1250  6 Y 2.63
Y: 0.4531 0.0469 0.0469  2 Co 2.63
Pb: 0.6250 0.1250 0.6250  6 Y 3.35
Co: 0.1250 0.1250 0.1250  6 Y 2.63
Y: 0.4531 0.4531 0.0469  2 Co 2.63
Y: 0.0469 0.4531 0.0469  2 Co 2.63
Y: 0.0469 0.0469 0.4531  2 Co 2.63
Pb: 0.6250 0.6250 0.6250  6 Y 3.35
Y: 0.2031 0.2031 0.7969  2 Co 2.63
Co: 0.6250 0.1250 0.1250  6 Y 2.63

Computed properties:
Space-group type: No. 227
Magnetic moment, μB per atom: 0.0000

--- 2 ---
Below is Y3CoPb after structural relaxation, with properties calculated at the GGA-PBE level.

Cell: 5.1979 5.1979 10.7933 Å, 90.00 90.00 120.00°
Last column: nearest neighbours and their distance in Å.
Fractional positions:
Pb: 0.3333 0.6667 0.7500  3 Y 3.00
Y: 0.3333 0.6667 0.4315  3 Co 3.09, 3 Y 3.35, 1 Pb 3.44
Co: 0.0000 0.0000 0.0000  2 Y 2.70
Co: 0.0000 0.0000 0.5000  2 Y 2.70
Y: 0.6667 0.3333 0.9315  3 Co 3.09, 3 Y 3.35, 1 Pb 3.44
Y: 0.6667 0.3333 0.5685  3 Co 3.09, 3 Y 3.35, 1 Pb 3.44
Y: 0.0000 0.0000 0.2500  2 Co 2.70, 3 Pb 3.00
Y: 0.3333 0.6667 0.0685  3 Co 3.09, 3 Y 3.35, 1 Pb 3.44
Y: 0.0000 0.0000 0.7500  2 Co 2.70, 3 Pb 3.00
Pb: 0.6667 0.3333 0.2500  3 Y 3.00

Computed properties:
Space-group type: No. 194
Magnetic moment, μB per atom: 0.0000

--- 3 ---
Below is Y3CoPb after structural relaxation, with properties calculated at the GGA-PBE level.

Cell: 24.2957 6.5007 9.4724 Å, 90.00 159.01 90.00°
Last column: nearest neighbours and their distance in Å.
Fractional positions:
Pb: 0.5793 0.2500 0.5794  9 Y 3.17-3.49
Co: 0.3938 0.7476 0.8939  5 Y 2.57-2.80
Y: 0.9436 0.2495 0.4437  1 Co 2.57
Y: 0.2501 0.9997 0.7500  2 Co 2.79-2.80
Y: 0.7501 0.5003 0.2500  2 Co 2.79-2.80
Y: 0.2499 0.4997 0.7500  2 Co 2.79-2.80
Y: 0.4436 0.2505 0.9437  1 Co 2.57
Y: 0.6412 0.7500 0.6413  2 Co 2.61
Pb: 0.0793 0.2500 0.0794  9 Y 3.17-3.49
Pb: 0.9207 0.7500 0.9206  9 Y 3.17-3.49
Co: 0.8938 0.7524 0.3939  5 Y 2.57-2.80
Co: 0.1062 0.2476 0.6061  5 Y 2.57-2.80
Y: 0.1412 0.7500 0.1413  2 Co 2.61
Y: 0.0564 0.7505 0.5563  1 Co 2.57
Y: 0.7499 0.0003 0.2500  2 Co 2.79-2.80
Y: 0.3588 0.2500 0.3587  2 Co 2.61
Y: 0.5564 0.7495 0.0563  1 Co 2.57
Pb: 0.4207 0.7500 0.4206  9 Y 3.17-3.49
Y: 0.8588 0.2500 0.8587  2 Co 2.61
Co: 0.6062 0.2524 0.1061  5 Y 2.57-2.80

Computed properties:
Space-group type: No. 64
Magnetic moment, μB per atom: 0.0000

Most stable structure: 3

--- 1 ---
Below is Y3CoPb after structural relaxation, with properties calculated at the GGA-PBE level.

Cell: 7.3468 7.3468 6.1570 Å, 90.00 90.00 126.92°
Last column: nearest neighbours and their distance in Å.
Fractional positions:
Y: 0.0556 0.4378 0.2500  1 Co 2.48
Pb: 0.4376 0.5624 0.7500  2 Pb 3.49, 2 Co 3.57, 12 Y 3.62-3.89
Pb: 0.5624 0.4376 0.2500  2 Pb 3.49, 2 Co 3.57, 12 Y 3.62-3.89
Y: 0.9444 0.5622 0.7500  1 Co 2.48
Y: 0.5622 0.9444 0.2500  1 Co 2.48
Co: 0.1691 0.8309 0.2500  4 Y 2.48-2.70
Y: 0.0000 0.0000 0.5000  2 Co 2.70
Y: 0.0000 0.0000 0.0000  2 Co 2.70
Y: 0.4378 0.0556 0.7500  1 Co 2.48
Co: 0.8309 0.1691 0.7500  4 Y 2.48-2.70

Computed properties:
Space-group type: No. 63
Magnetic moment, μB per atom: 0.0000

--- 2 ---
Below is Y3CoPb after structural relaxation, with properties calculated at the GGA-PBE level.

Cell: 3.7388 8.9937 8.4032 Å, 101.87 77.15 101.99°
Last column: nearest neighbours and their distance in Å.
Fractional positions:
Co: 0.5378 0.7337 0.2997  2 Co 2.34
Pb: 0.3597 0.2056 0.1282  8 Y 3.21-3.45
Pb: 0.1910 0.3636 0.6226  8 Y 3.21-3.45
Y: 0.3609 0.7359 0.6558  3 Co 2.75-2.91
Y: 0.5992 0.4981 0.9410  3 Pb 3.21-3.27, 1 Co 3.30, 2 Y 3.54
Co: 0.0131 0.8354 0.4507  2 Co 2.34
Y: 0.1900 0.8334 0.0948  3 Co 2.75-2.91
Y: 0.9082 0.4968 0.3220  3 Co 2.83-2.99
Y: 0.6426 0.0723 0.4287  3 Co 2.83-2.99
Y: 0.9516 0.0711 0.8098  3 Pb 3.21-3.27, 1 Co 3.30, 2 Y 3.54

Computed properties:
Space-group type: No. 12
Magnetic moment, μB per atom: 0.0000

--- 3 ---
Below is Y3CoPb after structural relaxation, with properties calculated at the GGA-PBE level.

Cell: 5.6816 5.6816 5.6816 Å, 104.90 104.90 104.90°
Last column: nearest neighbours and their distance in Å.
Fractional positions:
Y: 0.8751 0.8751 0.2549  1 Co 2.59
Co: 0.2453 0.2453 0.2453  3 Y 2.59, 1 Pb 2.60
Y: 0.8751 0.2549 0.8751  1 Co 2.59
Y: 0.2549 0.8751 0.8751  1 Co 2.59
Pb: 0.6246 0.6246 0.6246  1 Co 2.60

Computed properties:
Space-group type: No. 160
Magnetic moment, μB per atom: 0.0000

Most stable structure: 2

--- 1 ---
Below is Y3CoPb after structural relaxation, with properties calculated at the GGA-PBE level.

Cell: 4.4537 8.4936 8.4934 Å, 123.53 90.00 90.00°
Last column: nearest neighbours and their distance in Å.
Fractional positions:
Pb: 0.7916 0.9474 0.8734  9 Y 3.11-3.48
Co: 0.2916 0.5182 0.2883  1 Co 2.18
Y: 0.2915 0.1808 0.2244  1 Co 2.61
Y: 0.7915 0.5674 0.4799  2 Co 2.65
Y: 0.7914 0.8552 0.1920  2 Co 2.65
Y: 0.2915 0.9382 0.5629  2 Co 3.00
Y: 0.7915 0.3881 0.0128  4 Co 2.97, 2 Pb 3.24
Y: 0.2914 0.5998 0.8055  1 Co 2.61
Pb: 0.7916 0.2487 0.5721  8 Y 3.11-3.48
Co: 0.2915 0.6636 0.1429  1 Co 2.18

Computed properties:
Space-group type: No. 38
Magnetic moment, μB per atom: 0.0000

--- 2 ---
Below is Y3CoPb after structural relaxation, with properties calculated at the GGA-PBE level.

Cell: 6.7172 7.9944 5.9675 Å, 101.68 93.21 56.92°
Last column: nearest neighbours and their distance in Å.
Fractional positions:
Y: 0.5006 0.0827 0.3110  2 Co 2.81-2.84
Pb: 0.0717 0.9835 0.3118  1 Co 2.70
Y: 0.0393 0.5942 0.2237  2 Co 2.72-2.82
Y: 0.8546 0.9876 0.8141  1 Co 2.71
Y: 0.6016 0.4864 0.1662  1 Co 2.71
Y: 0.9556 0.3912 0.6693  2 Co 2.81-2.84
Pb: 0.3846 0.4904 0.6686  1 Co 2.70
Co: 0.0777 0.2321 0.0704  1 Co 2.33
Co: 0.3784 0.2418 0.9100  1 Co 2.33
Y: 0.4169 0.8798 0.7566  2 Co 2.72-2.82

Computed properties:
Space-group type: No. 2
Magnetic moment, μB per atom: 0.0000

Most stable structure: 1

--- 1 ---
Below is YCoPb3 after structural relaxation, with properties calculated at the GGA-PBE level.

Cell: 5.8497 5.8497 5.8497 Å, 90.00 90.00 90.00°
Last column: nearest neighbours and their distance in Å.
Fractional positions:
Y: 0.0000 0.0000 0.0000  6 Pb 2.92
Pb: 0.0000 0.0000 0.5000  2 Y 2.92
Pb: 0.0000 0.5000 0.0000  2 Y 2.92
Co: 0.5000 0.5000 0.5000  12 Pb 4.14
Pb: 0.5000 0.0000 0.0000  2 Y 2.92

Computed properties:
Space-group type: No. 221
Magnetic moment, μB per atom: 0.4657

--- 2 ---
Below is YCoPb3 after structural relaxation, with properties calculated at the GGA-PBE level.

Cell: 5.1314 5.1314 5.1314 Å, 90.00 90.00 90.00°
Last column: nearest neighbours and their distance in Å.
Fractional positions:
Co: 0.0000 0.0000 0.0000  6 Pb 2.57
Y: 0.5000 0.5000 0.5000  12 Pb 3.63
Pb: 0.5000 0.0000 0.0000  2 Co 2.57
Pb: 0.0000 0.0000 0.5000  2 Co 2.57
Pb: 0.0000 0.5000 0.0000  2 Co 2.57

Computed properties:
Space-group type: No. 221
Magnetic moment, μB per atom: 0.1240

Most stable structure: 2

--- 1 ---
Below is ZnCo3Pb after structural relaxation, with properties calculated at the GGA-PBE level.

Cell: 4.4205 4.4205 4.4205 Å, 90.00 90.00 90.00°
Last column: nearest neighbours and their distance in Å.
Fractional positions:
Co: 0.0000 0.0000 0.5000  2 Zn 2.21
Co: 0.0000 0.5000 0.0000  2 Zn 2.21
Co: 0.5000 0.0000 0.0000  2 Zn 2.21
Pb: 0.5000 0.5000 0.5000  12 Co 3.13
Zn: 0.0000 0.0000 0.0000  6 Co 2.21

Computed properties:
Space-group type: No. 221
Magnetic moment, μB per atom: 0.8883

--- 2 ---
Below is ZnCo3Pb after structural relaxation, with properties calculated at the GGA-PBE level.

Cell: 4.8287 4.8287 4.8287 Å, 90.00 90.00 90.00°
Last column: nearest neighbours and their distance in Å.
Fractional positions:
Pb: 0.0000 0.0000 0.0000  6 Co 2.41
Zn: 0.5000 0.5000 0.5000  12 Co 3.41
Co: 0.0000 0.0000 0.5000  2 Pb 2.41
Co: 0.0000 0.5000 0.0000  2 Pb 2.41
Co: 0.5000 0.0000 0.0000  2 Pb 2.41

Computed properties:
Space-group type: No. 221
Magnetic moment, μB per atom: 0.9949

Most stable structure: 1